# 1
Computed, not measured: a geometry-optimized LaPtAuS2 structure at the PBE-GGA level of DFT.

Lattice parameters (Å, degrees): 4.677 6.003 4.677 90.00 90.00 90.00
Sites, in units of the cell vectors:
S 0.000 0.000 0.500
S 0.500 0.000 0.000
Au 0.000 0.000 0.000
Pt 0.500 0.500 0.500
La 0.000 0.500 0.000

VASP energy   -0.15710 hartree per atom
Crystal system   tetragonal
Volume   131.3 Å³/f.u.
Density   7.5 g cm⁻³
Raw formation energy   225 meV per atom

# 2
Computed, not measured: a geometry-optimized LaSbPt2Au2 structure at the PBE-GGA level of DFT.

Lattice parameters (Å, degrees): 5.334 5.334 6.529 114.11 114.11 90.00
Sites, in units of the cell vectors:
La 0.500 0.500 0.000
Sb 0.000 0.000 0.000
Pt 0.754 0.754 0.508
Pt 0.246 0.246 0.492
Au 0.250 0.750 0.500
Au 0.750 0.250 0.500

VASP energy   -0.17971 hartree per atom
Crystal system   tetragonal
Volume   151.6 Å³/f.u.
Density   11.4 g cm⁻³
Raw formation energy   -276 meV per atom

# 3
Computed, not measured: a geometry-optimized La2Sb4Pt3Au structure at the PBE-GGA level of DFT.

Lattice parameters (Å, degrees): 4.808 4.808 10.310 90.00 90.00 90.00
Sites, in units of the cell vectors:
La 0.500 0.000 0.259
La 0.000 0.500 0.741
Sb 0.500 0.500 0.000
Sb 0.000 0.000 0.000
Sb 0.500 0.000 0.629
Sb 0.000 0.500 0.371
Pt 0.000 0.000 0.500
Pt 0.500 0.000 0.882
Pt 0.000 0.500 0.118
Au 0.500 0.500 0.500

VASP energy   -0.20599 hartree per atom
Crystal system   tetragonal
Volume   238.4 Å³/f.u.
Density   10.8 g cm⁻³
Raw formation energy   -831 meV per atom

# 4
Computed, not measured: a geometry-optimized LaSbPtAu structure at the PBE-GGA level of DFT.

Lattice parameters (Å, degrees): 5.064 5.064 5.064 60.00 60.00 60.00
Sites, in units of the cell vectors:
Sb 0.000 0.000 0.000
Au 0.250 0.250 0.250
Pt 0.750 0.750 0.750
La 0.500 0.500 0.500

VASP energy   -0.19525 hartree per atom
Crystal system   cubic
Volume   91.8 Å³/f.u.
Density   11.8 g cm⁻³
Raw formation energy   -721 meV per atom

# 5
Computed, not measured: a geometry-optimized LaPt2AuSe structure at the PBE-GGA level of DFT.

Lattice parameters (Å, degrees): 5.055 4.910 5.055 90.00 90.00 90.00
Sites, in units of the cell vectors:
Au 0.000 0.000 0.000
Se 0.000 0.500 0.000
Pt 0.000 0.000 0.500
Pt 0.500 0.000 0.000
La 0.500 0.500 0.500

VASP energy   -0.17783 hartree per atom
Crystal system   tetragonal
Volume   125.5 Å³/f.u.
Density   10.7 g cm⁻³
Raw formation energy   -85 meV per atom

# 6
Computed, not measured: a geometry-optimized LaSmPtAu structure at the PBE-GGA level of DFT.

Lattice parameters (Å, degrees): 5.196 5.196 5.196 60.00 60.00 60.00
Sites, in units of the cell vectors:
Au 0.250 0.250 0.250
Sm 0.000 0.000 0.000
Pt 0.750 0.750 0.750
La 0.500 0.500 0.500

VASP energy   -0.20823 hartree per atom
Crystal system   cubic
Volume   99.2 Å³/f.u.
Density   11.4 g cm⁻³
Distance to the lowest polymorph of the same formula   73 meV/atom
Energy of formation from the pure elements   -89.26 kJ/mol of atoms

# 7
Computed, not measured: a geometry-optimized LaSmPtAu structure at the PBE-GGA level of DFT.

Lattice parameters (Å, degrees): 3.932 4.762 5.819 90.00 109.75 90.00
Sites, in units of the cell vectors:
La 0.139 0.000 0.277
Sm 0.865 0.500 0.730
Pt 0.410 0.000 0.821
Au 0.586 0.500 0.172

VASP energy   -0.21092 hartree per atom
Crystal system   orthorhombic
Volume   102.6 Å³/f.u.
Density   11.0 g cm⁻³
Distance to the lowest polymorph of the same formula   0 meV/atom
Energy of formation from the pure elements   -96.32 kJ/mol of atoms

# 8
Computed, not measured: a geometry-optimized LaSnPt3Au structure at the PBE-GGA level of DFT.

Lattice parameters (Å, degrees): 7.567 5.840 6.721 115.75 90.00 90.00
Sites, in units of the cell vectors:
La 0.750 0.336 0.673
La 0.250 0.664 0.327
Sn 0.250 0.370 0.740
Sn 0.750 0.630 0.260
Pt 0.250 0.152 0.303
Pt 0.000 0.261 0.000
Pt 0.500 0.739 0.000
Pt 0.500 0.261 0.000
Pt 0.000 0.739 0.000
Pt 0.750 0.848 0.697
Au 0.250 0.906 0.811
Au 0.750 0.094 0.189

VASP energy   -0.20630 hartree per atom
Crystal system   orthorhombic
Volume   133.8 Å³/f.u.
Density   12.9 g cm⁻³
Energy of formation from the pure elements   -53.92 kJ/mol of atoms

# 9
Computed, not measured: a geometry-optimized La2Sn4PtAu3 structure at the PBE-GGA level of DFT.

Lattice parameters (Å, degrees): 4.675 4.675 11.272 90.00 90.00 90.00
Sites, in units of the cell vectors:
La 0.500 0.000 0.272
La 0.000 0.500 0.728
Sn 0.500 0.500 0.000
Sn 0.000 0.000 0.000
Sn 0.500 0.000 0.624
Sn 0.000 0.500 0.376
Pt 0.500 0.500 0.500
Au 0.000 0.000 0.500
Au 0.500 0.000 0.860
Au 0.000 0.500 0.140

VASP energy   -0.17802 hartree per atom
Crystal system   tetragonal
Volume   246.4 Å³/f.u.
Density   10.4 g cm⁻³
Energy of formation from the pure elements   -64.68 kJ/mol of atoms

# 10
Computed, not measured: a geometry-optimized LaTa2PtAu structure at the PBE-GGA level of DFT.

Lattice parameters (Å, degrees): 4.932 5.667 4.932 90.00 90.00 90.00
Sites, in units of the cell vectors:
La 0.000 0.500 0.000
Au 0.000 0.000 0.000
Pt 0.500 0.500 0.500
Ta 0.000 0.000 0.500
Ta 0.500 0.000 0.000

VASP energy   -0.23422 hartree per atom
Crystal system   tetragonal
Volume   137.8 Å³/f.u.
Density   10.8 g cm⁻³
Energy of formation from the pure elements   117.39 kJ/mol of atoms

# 11
Computed, not measured: a geometry-optimized LaTbPtAu structure at the PBE-GGA level of DFT.

Lattice parameters (Å, degrees): 3.894 4.754 5.760 90.00 109.75 90.00
Sites, in units of the cell vectors:
La 0.139 0.000 0.279
Tb 0.865 0.500 0.730
Pt 0.410 0.000 0.820
Au 0.585 0.500 0.171

VASP energy   -0.21087 hartree per atom
Crystal system   orthorhombic
Volume   100.3 Å³/f.u.
Density   11.4 g cm⁻³
Distance to the lowest polymorph of the same formula   0 meV/atom
Energy of formation from the pure elements   -98.32 kJ/mol of atoms

# 12
Computed, not measured: a geometry-optimized LaTbPtAu structure at the PBE-GGA level of DFT.

Lattice parameters (Å, degrees): 5.158 5.158 5.158 60.00 60.00 60.00
Sites, in units of the cell vectors:
Tb 0.000 0.000 0.000
Au 0.250 0.250 0.250
Pt 0.750 0.750 0.750
La 0.500 0.500 0.500

VASP energy   -0.20836 hartree per atom
Crystal system   cubic
Volume   97.1 Å³/f.u.
Density   11.8 g cm⁻³
Distance to the lowest polymorph of the same formula   68 meV/atom
Energy of formation from the pure elements   -91.74 kJ/mol of atoms